Entry 1:
Here is an optimized crystal structure of La4PrY5 from the Alexandria database. Energies are from PBE.

Cell lengths 3.698, 3.698, 25.310 Å; angles 90.00, 90.00, 90.00 degrees
Atoms (fractional coordinates):
Y1 0.500 0.500 0.700
Y2 0.500 0.500 0.901
Y3 0.500 0.500 0.300
Y4 0.500 0.500 0.500
Y5 0.500 0.500 0.099
Pr1 0.000 0.000 0.000
La1 0.000 0.000 0.800
La2 0.000 0.000 0.600
La3 0.000 0.000 0.400
La4 0.000 0.000 0.200

Entry 2:
Here is an optimized crystal structure of La12Pr3Y from the Alexandria database. Energies are from PBE.

Cell lengths 5.250, 5.250, 21.006 Å; angles 90.00, 90.00, 90.00 degrees
Atoms (fractional coordinates):
Pr1 0.000 0.000 0.751
Pr2 0.000 0.000 0.500
Pr3 0.000 0.000 0.249
La1 0.500 0.000 0.876
La2 0.500 0.500 0.500
La3 0.500 0.000 0.374
La4 0.500 0.500 0.249
La5 0.500 0.000 0.626
La6 0.500 0.000 0.124
La7 0.500 0.500 0.751
La8 0.000 0.500 0.626
La9 0.500 0.500 0.000
La10 0.000 0.500 0.374
La11 0.000 0.500 0.124
La12 0.000 0.500 0.876
Y1 0.000 0.000 0.000

Entry 3:
Here is an optimized crystal structure of La6Pr5Y from the Alexandria database. Energies are from PBE.

Cell lengths 6.423, 7.437, 9.841 Å; angles 67.80, 89.61, 89.91 degrees
Atoms (fractional coordinates):
La1 0.834 0.083 0.332
La2 0.834 0.585 0.332
La3 0.166 0.415 0.668
La4 0.166 0.917 0.668
La5 0.500 0.752 0.000
La6 0.500 0.248 0.000
Pr1 0.335 0.333 0.333
Pr2 0.000 0.500 0.000
Pr3 0.665 0.667 0.667
Pr4 0.333 0.834 0.332
Pr5 0.667 0.166 0.668
Y1 0.000 0.000 0.000

Entry 4:
Here is an optimized crystal structure of LaPr2Y4 from the Alexandria database. Energies are from PBE.

Properties
Relative energy among the computed polymorphs   228 meV/atom

Cell lengths 8.202, 7.897, 7.897 Å; angles 90.00, 90.09, 90.09 degrees
Atoms (fractional coordinates):
La1 0.000 0.500 0.000
La2 0.500 0.500 0.000
Y1 0.721 0.751 0.251
Y2 0.721 0.248 0.250
Y3 0.279 0.752 0.750
Y4 0.721 0.750 0.748
Y5 0.279 0.250 0.252
Y6 0.279 0.751 0.251
Y7 0.279 0.249 0.749
Y8 0.721 0.249 0.749
Pr1 0.500 0.000 0.500
Pr2 0.000 0.500 0.500
Pr3 0.000 0.000 0.000
Pr4 0.000 0.000 0.500

Entry 5:
Here is an optimized crystal structure of La2Pr12Y5 from the Alexandria database. Energies are from PBE.

Properties
Relative energy among the computed polymorphs   0 meV/atom

Cell lengths 9.644, 11.898, 8.995 Å; angles 129.01, 90.00, 113.91 degrees
Atoms (fractional coordinates):
Pr1 0.581 0.660 0.387
Pr2 0.920 0.839 0.757
Pr3 0.689 0.764 0.065
Pr4 0.311 0.236 0.935
Pr5 0.477 0.955 0.627
Pr6 0.419 0.340 0.613
Pr7 0.075 0.764 0.065
Pr8 0.921 0.340 0.613
Pr9 0.080 0.161 0.243
Pr10 0.079 0.660 0.387
Pr11 0.523 0.045 0.373
Pr12 0.925 0.236 0.935
La1 0.324 0.000 0.000
La2 0.676 0.000 0.000
Y1 0.307 0.614 0.658
Y2 0.285 0.570 0.010
Y3 0.693 0.386 0.342
Y4 0.000 0.000 0.500
Y5 0.715 0.430 0.990

Entry 6:
Here is an optimized crystal structure of La4PrY4 from the Alexandria database. Energies are from PBE.

Properties
Relative energy among the computed polymorphs   0 meV/atom

Cell lengths 10.999, 9.711, 11.018 Å; angles 104.41, 87.01, 145.12 degrees
Atoms (fractional coordinates):
Pr1 0.444 0.362 0.696
Pr2 0.556 0.638 0.304
Y1 0.113 0.529 0.863
Y2 0.777 0.693 0.026
Y3 0.887 0.471 0.137
Y4 0.223 0.307 0.974
Y5 0.331 0.584 0.584
Y6 0.669 0.416 0.416
Y7 0.442 0.861 0.192
Y8 0.558 0.139 0.808
La1 0.111 0.027 0.360
La2 0.889 0.973 0.640
La3 0.780 0.195 0.528
La4 0.997 0.249 0.248
La5 0.003 0.751 0.752
La6 0.669 0.919 0.917
La7 0.331 0.081 0.083
La8 0.220 0.805 0.472

Entry 7:
Here is an optimized crystal structure of La2Pr4Y3 from the Alexandria database. Energies are from PBE.

Properties
Relative energy among the computed polymorphs   19 meV/atom

Cell lengths 3.628, 10.014, 8.994 Å; angles 80.32, 101.63, 90.00 degrees
Atoms (fractional coordinates):
Pr1 0.665 0.780 0.331
Pr2 0.499 0.333 0.998
Pr3 0.335 0.220 0.669
Pr4 0.501 0.667 0.002
Y1 0.000 0.000 0.000
Y2 0.838 0.540 0.676
Y3 0.162 0.460 0.324
La1 0.672 0.123 0.345
La2 0.328 0.877 0.655

Entry 8:
Here is an optimized crystal structure of La4Pr2Y5 from the Alexandria database. Energies are from PBE.

Properties
Relative energy among the computed polymorphs   65 meV/atom

Cell lengths 5.808, 6.796, 10.165 Å; angles 90.41, 106.60, 90.00 degrees
Atoms (fractional coordinates):
La1 0.693 0.078 0.387
La2 0.307 0.922 0.613
La3 0.021 0.290 0.042
La4 0.979 0.710 0.958
Y1 0.500 0.000 0.000
Y2 0.131 0.883 0.262
Y3 0.211 0.400 0.421
Y4 0.789 0.600 0.579
Y5 0.869 0.117 0.738
Pr1 0.401 0.446 0.802
Pr2 0.599 0.554 0.198

Entry 9:
Here is an optimized crystal structure of La4PrY6 from the Alexandria database. Energies are from PBE.

Properties
Relative energy among the computed polymorphs   0 meV/atom

Cell lengths 3.578, 11.217, 11.217 Å; angles 120.00, 90.00, 90.00 degrees
Atoms (fractional coordinates):
Pr1 0.000 0.000 0.000
Y1 0.500 0.167 0.833
Y2 0.000 0.011 0.506
Y3 0.000 0.494 0.506
Y4 0.500 0.666 0.833
Y5 0.500 0.167 0.334
Y6 0.000 0.494 0.989
La1 0.500 0.799 0.598
La2 0.500 0.799 0.201
La3 0.000 0.333 0.667
La4 0.500 0.402 0.201

Entry 10:
Here is an optimized crystal structure of LaPr6Y5 from the Alexandria database. Energies are from PBE.

Properties
Relative energy among the computed polymorphs   0 meV/atom

Cell lengths 6.306, 7.343, 11.496 Å; angles 108.62, 122.59, 90.00 degrees
Atoms (fractional coordinates):
Y1 0.670 0.168 0.336
Y2 0.000 0.500 0.000
Y3 0.333 0.333 0.666
Y4 0.330 0.832 0.664
Y5 0.667 0.667 0.334
Pr1 0.500 0.750 0.000
Pr2 0.833 0.583 0.666
Pr3 0.167 0.417 0.334
Pr4 0.167 0.917 0.334
Pr5 0.500 0.250 0.000
Pr6 0.833 0.083 0.666
La1 0.000 0.000 0.000

Entry 11:
Here is an optimized crystal structure of La8Pr2Y3 from the Alexandria database. Energies are from PBE.

Properties
Relative energy among the computed polymorphs   0 meV/atom

Cell lengths 6.283, 9.060, 9.060 Å; angles 82.94, 72.49, 72.49 degrees
Atoms (fractional coordinates):
La1 0.352 0.417 0.908
La2 0.768 0.459 0.459
La3 0.648 0.583 0.092
La4 0.090 0.856 0.856
La5 0.232 0.541 0.541
La6 0.910 0.144 0.144
La7 0.352 0.908 0.417
La8 0.648 0.092 0.583
Y1 0.000 0.252 0.748
Y2 0.500 0.000 0.000
Y3 0.000 0.748 0.252
Pr1 0.699 0.711 0.711
Pr2 0.301 0.289 0.289

Entry 12:
Here is an optimized crystal structure of La3Pr7Y from the Alexandria database. Energies are from PBE.

Properties
Relative energy among the computed polymorphs   7 meV/atom

Cell lengths 6.062, 8.738, 8.738 Å; angles 82.44, 110.25, 110.25 degrees
Atoms (fractional coordinates):
Y1 0.500 0.500 0.500
Pr1 0.301 0.006 0.597
Pr2 0.209 0.209 0.209
Pr3 0.000 0.500 0.500
Pr4 0.699 0.403 0.994
Pr5 0.699 0.994 0.403
Pr6 0.791 0.791 0.791
Pr7 0.301 0.597 0.006
La1 0.000 0.788 0.212
La2 0.500 0.000 0.000
La3 0.000 0.212 0.788

Sequential M_tot output: 0.000; 0.000; 0.000; 0.844; 0.000; 0.000; 0.000; 0.000; 0.000; 0.000; 0.000; 0.004 μB per formula unit
Sequential energy of formation from the pure elements output: 20; 8; 14; 213; 338; 20; 31; 94; 170; 13; 178; 228 kJ/mol of formula units